The following is a PBE-GGA calculation of crystalline Y2MoRu at its relaxed geometry, from the Alexandria database.

Geometry as POSCAR:
```
Y2MoRu
1.0
0.0000 3.4839 3.4839
3.4839 0.0000 3.4839
3.4839 3.4839 0.0000
Ru Y Mo
1 2 1
direct
0.5000 0.5000 0.5000 Ru
0.7500 0.7500 0.7500 Y
0.2500 0.2500 0.2500 Y
0.0000 0.0000 0.0000 Mo
```

Output
Its space group is Fm-3m (225). The energy above the most stable polymorph in this dataset comes out at 213 meV/atom. The calculation puts the density of states at the Fermi level at 6.0 states/eV per cell. The energy of formation comes out at 0.24 eV per atom.